(1)
The following is a DFT calculation (PBE-GGA) of an optimized crystal structure of DyHfSc6.

Lattice parameters (Å, degrees): 4.6229 4.6229 9.2857 90.00 90.00 90.00
Closest atoms and distances in Å follow each position.
Fractional coordinates of all 8 atoms:
1 Dy 0.0000 0.0000 0.0000  12 Sc 3.27-3.37
2 Hf 0.0000 0.0000 0.5000  12 Sc 3.19-3.27
3 Sc 0.0000 0.5000 0.2634  2 Hf 3.19, 8 Sc 3.19-3.37, 2 Dy 3.37
4 Sc 0.0000 0.5000 0.7366  2 Hf 3.19, 8 Sc 3.19-3.37, 2 Dy 3.37
5 Sc 0.5000 0.0000 0.2634  2 Hf 3.19, 8 Sc 3.19-3.37, 2 Dy 3.37
6 Sc 0.5000 0.0000 0.7366  2 Hf 3.19, 8 Sc 3.19-3.37, 2 Dy 3.37
7 Sc 0.5000 0.5000 0.0000  4 Dy 3.27, 8 Sc 3.37
8 Sc 0.5000 0.5000 0.5000  8 Sc 3.19, 4 Hf 3.27

Calculated values
Its energy of formation is 0.061 eV per atom. Its space group is P4/mmm, No. 123. The total DFT energy (no corrections) is -52.057 eV for the cell shown.

(2)
The following is a DFT calculation (PBE-GGA) of an optimized crystal structure of Li3Pu4Se8.

Lattice parameters (Å, degrees): 8.1741 8.1741 8.0143 118.89 118.89 91.57
Closest atoms and distances in Å follow each position.
Fractional coordinates of all 15 atoms:
1 Li 0.0000 0.0000 0.0000  6 Se 2.87-2.93
2 Li 0.0000 0.5000 0.0000  6 Se 2.85-2.93
3 Li 0.5000 0.0000 0.0000  6 Se 2.85-2.93
4 Pu 0.0000 0.0000 0.5000  6 Se 2.79-2.88
5 Pu 0.0000 0.5000 0.5000  6 Se 2.85-2.93
6 Pu 0.5000 0.0000 0.5000  6 Se 2.85-2.93
7 Pu 0.5000 0.5000 0.0000  6 Se 2.82-2.93
8 Se 0.2438 0.2438 0.9819  2 Pu 2.79-2.82, 3 Li 2.88-2.93
9 Se 0.2454 0.7546 0.5000  3 Pu 2.85-2.88, 2 Li 2.89
10 Se 0.2503 0.7497 0.0000  3 Li 2.85-2.93, 3 Pu 2.89-2.93
11 Se 0.2515 0.2515 0.4970  1 Li 2.87, 4 Pu 2.88-2.93
12 Se 0.7485 0.7485 0.5030  1 Li 2.87, 4 Pu 2.88-2.93
13 Se 0.7497 0.2503 0.0000  3 Li 2.85-2.93, 3 Pu 2.89-2.93
14 Se 0.7546 0.2454 0.5000  3 Pu 2.85-2.88, 2 Li 2.89
15 Se 0.7562 0.7562 0.0181  2 Pu 2.79-2.82, 3 Li 2.88-2.93

Calculated values
Its space group is C2/m, No. 12. The calculation puts the formation energy (no corrections) at -1299 meV/atom. The total DFT energy (no corrections) is -110.430 eV for the cell shown.

(3)
The following is a DFT calculation (PBE-GGA) of an optimized crystal structure of MnOsRh2.

Lattice parameters (Å, degrees): 9.0758 9.0758 9.0758 156.23 156.23 33.86
Closest atoms and distances in Å follow each position.
Fractional coordinates of all 8 atoms:
1 Mn 0.0000 0.0000 0.0000  4 Rh 2.53, 4 Os 2.64
2 Mn 0.7500 0.2500 0.5000  4 Rh 2.53, 4 Os 2.64
3 Os 0.2500 0.7500 0.5000  4 Rh 2.55, 4 Mn 2.64
4 Os 0.5000 0.5000 0.0000  4 Rh 2.55, 4 Mn 2.64
5 Rh 0.1178 0.6250 0.9928  2 Mn 2.53, 2 Os 2.55, 4 Rh 2.60-2.68
6 Rh 0.3750 0.3678 0.4928  2 Mn 2.53, 2 Os 2.55, 4 Rh 2.60-2.68
7 Rh 0.6322 0.1250 0.0072  2 Mn 2.53, 2 Os 2.55, 4 Rh 2.60-2.68
8 Rh 0.8750 0.8822 0.5072  2 Mn 2.53, 2 Os 2.55, 4 Rh 2.60-2.68

Calculated values
As for the energy above the most stable polymorph in this dataset: 196 kJ/mol of formula units. Its energy of formation is 0.485 eV per atom. Its space group is I-42d, No. 122. The total DFT energy (no corrections) is -66.322 eV for the cell shown.

(4)
The following is a DFT calculation (PBE-GGA) of an optimized crystal structure of Fe3Sb12Ru5.

Lattice parameters (Å, degrees): 13.4592 13.4592 13.4592 109.47 109.47 109.47
Closest atoms and distances in Å follow each position.
Fractional coordinates of all 80 atoms:
1 Fe 0.1250 0.2500 0.3750  4 Sb 2.69
2 Fe 0.1250 0.3750 0.7500  4 Sb 2.69
3 Fe 0.2500 0.3750 0.1250  4 Sb 2.69
4 Fe 0.2500 0.8750 0.6250  4 Sb 2.69
5 Fe 0.3750 0.1250 0.2500  4 Sb 2.69
6 Fe 0.3750 0.7500 0.1250  4 Sb 2.69
7 Fe 0.6250 0.2500 0.8750  4 Sb 2.69
8 Fe 0.6250 0.8750 0.7500  4 Sb 2.69
9 Fe 0.7500 0.1250 0.3750  4 Sb 2.69
10 Fe 0.7500 0.6250 0.8750  4 Sb 2.69
11 Fe 0.8750 0.6250 0.2500  4 Sb 2.69
12 Fe 0.8750 0.7500 0.6250  4 Sb 2.69
13 Sb 0.0539 0.2282 0.1214  2 Ru 2.54-2.65, 1 Fe 2.69
14 Sb 0.0539 0.3258 0.9325  2 Ru 2.54-2.65, 1 Fe 2.69
15 Sb 0.0675 0.6214 0.3932  2 Ru 2.54-2.65, 1 Fe 2.69
16 Sb 0.0675 0.9461 0.6742  2 Ru 2.54-2.65, 1 Fe 2.69
17 Sb 0.1068 0.7282 0.6742  2 Ru 2.54-2.65, 1 Fe 2.69
18 Sb 0.1068 0.8786 0.4325  2 Ru 2.54-2.65, 1 Fe 2.69
19 Sb 0.1214 0.0539 0.2282  2 Ru 2.54-2.65, 1 Fe 2.69
20 Sb 0.1214 0.5675 0.8932  2 Ru 2.54-2.65, 1 Fe 2.69
21 Sb 0.1742 0.2282 0.6068  2 Ru 2.54-2.65, 1 Fe 2.69
22 Sb 0.1742 0.4461 0.5675  2 Ru 2.54-2.65, 1 Fe 2.69
23 Sb 0.2282 0.1214 0.0539  2 Ru 2.54-2.65, 1 Fe 2.69
24 Sb 0.2282 0.6068 0.1742  2 Ru 2.54-2.65, 1 Fe 2.69
25 Sb 0.2718 0.3258 0.8932  2 Ru 2.54-2.65, 1 Fe 2.69
26 Sb 0.2718 0.4461 0.3786  2 Ru 2.54-2.65, 1 Fe 2.69
27 Sb 0.3258 0.8932 0.2718  2 Ru 2.54-2.65, 1 Fe 2.69
28 Sb 0.3258 0.9325 0.0539  2 Ru 2.54-2.65, 1 Fe 2.69
29 Sb 0.3786 0.2718 0.4461  2 Ru 2.54-2.65, 1 Fe 2.69
30 Sb 0.3786 0.6068 0.9325  2 Ru 2.54-2.65, 1 Fe 2.69
31 Sb 0.3932 0.0675 0.6214  2 Ru 2.54-2.65, 1 Fe 2.69
32 Sb 0.3932 0.8258 0.7718  2 Ru 2.54-2.65, 1 Fe 2.69
33 Sb 0.4325 0.1068 0.8786  2 Ru 2.54-2.65, 1 Fe 2.69
34 Sb 0.4325 0.8258 0.5539  2 Ru 2.54-2.65, 1 Fe 2.69
35 Sb 0.4461 0.3786 0.2718  2 Ru 2.54-2.65, 1 Fe 2.69
36 Sb 0.4461 0.5675 0.1742  2 Ru 2.54-2.65, 1 Fe 2.69
37 Sb 0.5539 0.4325 0.8258  2 Ru 2.54-2.65, 1 Fe 2.69
38 Sb 0.5539 0.6214 0.7282  2 Ru 2.54-2.65, 1 Fe 2.69
39 Sb 0.5675 0.1742 0.4461  2 Ru 2.54-2.65, 1 Fe 2.69
40 Sb 0.5675 0.8932 0.1214  2 Ru 2.54-2.65, 1 Fe 2.69
41 Sb 0.6068 0.1742 0.2282  2 Ru 2.54-2.65, 1 Fe 2.69
42 Sb 0.6068 0.9325 0.3786  2 Ru 2.54-2.65, 1 Fe 2.69
43 Sb 0.6214 0.3932 0.0675  2 Ru 2.54-2.65, 1 Fe 2.69
44 Sb 0.6214 0.7282 0.5539  2 Ru 2.54-2.65, 1 Fe 2.69
45 Sb 0.6742 0.0675 0.9461  2 Ru 2.54-2.65, 1 Fe 2.69
46 Sb 0.6742 0.1068 0.7282  2 Ru 2.54-2.65, 1 Fe 2.69
47 Sb 0.7282 0.5539 0.6214  2 Ru 2.54-2.65, 1 Fe 2.69
48 Sb 0.7282 0.6742 0.1068  2 Ru 2.54-2.65, 1 Fe 2.69
49 Sb 0.7718 0.3932 0.8258  2 Ru 2.54-2.65, 1 Fe 2.69
50 Sb 0.7718 0.8786 0.9461  2 Ru 2.54-2.65, 1 Fe 2.69
51 Sb 0.8258 0.5539 0.4325  2 Ru 2.54-2.65, 1 Fe 2.69
52 Sb 0.8258 0.7718 0.3932  2 Ru 2.54-2.65, 1 Fe 2.69
53 Sb 0.8786 0.4325 0.1068  2 Ru 2.54-2.65, 1 Fe 2.69
54 Sb 0.8786 0.9461 0.7718  2 Ru 2.54-2.65, 1 Fe 2.69
55 Sb 0.8932 0.1214 0.5675  2 Ru 2.54-2.65, 1 Fe 2.69
56 Sb 0.8932 0.2718 0.3258  2 Ru 2.54-2.65, 1 Fe 2.69
57 Sb 0.9325 0.0539 0.3258  2 Ru 2.54-2.65, 1 Fe 2.69
58 Sb 0.9325 0.3786 0.6068  2 Ru 2.54-2.65, 1 Fe 2.69
59 Sb 0.9461 0.6742 0.0675  2 Ru 2.54-2.65, 1 Fe 2.69
60 Sb 0.9461 0.7718 0.8786  2 Ru 2.54-2.65, 1 Fe 2.69
61 Ru 0.0000 0.0000 0.0000  6 Sb 2.65
62 Ru 0.0000 0.0000 0.5000  6 Sb 2.65
63 Ru 0.0000 0.5000 0.0000  6 Sb 2.65
64 Ru 0.0000 0.5000 0.5000  6 Sb 2.65
65 Ru 0.1250 0.7500 0.8750  4 Sb 2.54
66 Ru 0.1250 0.8750 0.2500  4 Sb 2.54
67 Ru 0.2500 0.1250 0.8750  4 Sb 2.54
68 Ru 0.2500 0.6250 0.3750  4 Sb 2.54
69 Ru 0.3750 0.2500 0.6250  4 Sb 2.54
70 Ru 0.3750 0.6250 0.7500  4 Sb 2.54
71 Ru 0.5000 0.0000 0.0000  6 Sb 2.65
72 Ru 0.5000 0.0000 0.5000  6 Sb 2.65
73 Ru 0.5000 0.5000 0.0000  6 Sb 2.65
74 Ru 0.5000 0.5000 0.5000  6 Sb 2.65
75 Ru 0.6250 0.3750 0.2500  4 Sb 2.54
76 Ru 0.6250 0.7500 0.3750  4 Sb 2.54
77 Ru 0.7500 0.3750 0.6250  4 Sb 2.54
78 Ru 0.7500 0.8750 0.1250  4 Sb 2.54
79 Ru 0.8750 0.1250 0.7500  4 Sb 2.54
80 Ru 0.8750 0.2500 0.1250  4 Sb 2.54

Calculated values
Its space group is Ia-3d, No. 230. The calculation puts the formation energy (no corrections) at 315 meV/atom. The total DFT energy (no corrections) is -459.723 eV for the cell shown.

(5)
The following is a DFT calculation (PBE-GGA) of an optimized crystal structure of Ni2RhW.

Lattice parameters (Å, degrees): 3.7239 3.7239 3.7390 90.00 90.00 90.00
Closest atoms and distances in Å follow each position.
Fractional coordinates of all 4 atoms:
1 Ni 0.0000 0.5000 0.0000  4 Ni 2.63, 4 W 2.64, 4 Rh 2.64
2 Ni 0.5000 0.0000 0.0000  4 Ni 2.63, 4 W 2.64, 4 Rh 2.64
3 Rh 0.0000 0.0000 0.5000  4 W 2.63, 8 Ni 2.64
4 W 0.5000 0.5000 0.5000  4 Rh 2.63, 8 Ni 2.64

Calculated values
As for the energy above the most stable polymorph in this dataset: 47 kJ/mol of formula units. Its energy of formation is -0.031 eV per atom. Its space group is P4/mmm, No. 123. The total DFT energy (no corrections) is -31.992 eV for the cell shown.

(6)
The following is a DFT calculation (PBE-GGA) of an optimized crystal structure of CuSb2Br.

Lattice parameters (Å, degrees): 5.0892 5.0892 5.0892 112.06 112.06 104.41
Closest atoms and distances in Å follow each position.
Fractional coordinates of all 4 atoms:
1 Cu 0.0000 0.0000 0.0000  4 Sb 2.84, 2 Br 3.12
2 Sb 0.0000 0.5000 0.5000  2 Br 2.84, 2 Cu 2.84, 2 Sb 3.12
3 Sb 0.5000 0.0000 0.5000  2 Br 2.84, 2 Cu 2.84, 2 Sb 3.12
4 Br 0.5000 0.5000 0.0000  4 Sb 2.84, 2 Cu 3.12

Calculated values
As for the energy above the most stable polymorph in this dataset: 101 kJ/mol of formula units. Its space group is I4/mmm, No. 139. The calculation puts the formation energy (no corrections) at 193 meV/atom. The total DFT energy (no corrections) is -13.243 eV for the cell shown.

(7)
The following is a DFT calculation (PBE-GGA) of an optimized crystal structure of Zr2IrF.

Lattice parameters (Å, degrees): 7.1543 7.1543 7.1543 137.06 137.06 62.34
Closest atoms and distances in Å follow each position.
Fractional coordinates of all 8 atoms:
1 Zr 0.0748 0.6250 0.9498  2 F 2.27
2 Zr 0.3750 0.3248 0.4498  2 F 2.27
3 Zr 0.6752 0.1250 0.0502  2 F 2.27
4 Zr 0.8750 0.9252 0.5502  2 F 2.27
5 Ir 0.2500 0.7500 0.5000  4 Zr 2.55
6 Ir 0.5000 0.5000 0.0000  4 Zr 2.55
7 F 0.0000 0.0000 0.0000  4 Zr 2.27
8 F 0.7500 0.2500 0.5000  4 Zr 2.27

Calculated values
As for the energy above the most stable polymorph in this dataset: 44 kJ/mol of formula units. Its space group is I-42d, No. 122. The calculation puts the formation energy (no corrections) at -906 meV/atom. The total DFT energy (no corrections) is -62.901 eV for the cell shown.

(8)
The following is a DFT calculation (PBE-GGA) of an optimized crystal structure of Cs2BeGeSe4.

Lattice parameters (Å, degrees): 14.8376 13.3083 7.8092 85.05 63.33 31.62
Closest atoms and distances in Å follow each position.
Fractional coordinates of all 16 atoms:
1 Cs 0.0544 0.0544 0.6956  8 Se 3.79-3.90
2 Cs 0.3044 0.3044 0.9456  8 Se 3.79-3.90
3 Cs 0.6956 0.6956 0.0544  8 Se 3.79-3.90
4 Cs 0.9456 0.9456 0.3044  8 Se 3.79-3.90
5 Be 0.1250 0.1250 0.1250  4 Se 2.29
6 Be 0.8750 0.8750 0.8750  4 Se 2.29
7 Ge 0.3750 0.3750 0.3750  4 Se 2.38
8 Ge 0.6250 0.6250 0.6250  4 Se 2.38
9 Se 0.0226 0.3249 0.4028  1 Be 2.29, 1 Ge 2.38
10 Se 0.2503 0.5972 0.6751  1 Be 2.29, 1 Ge 2.38
11 Se 0.3249 0.0226 0.7497  1 Be 2.29, 1 Ge 2.38
12 Se 0.4028 0.7497 0.0226  1 Be 2.29, 1 Ge 2.38
13 Se 0.5972 0.2503 0.9774  1 Be 2.29, 1 Ge 2.38
14 Se 0.6751 0.9774 0.2503  1 Be 2.29, 1 Ge 2.38
15 Se 0.7497 0.4028 0.3249  1 Be 2.29, 1 Ge 2.38
16 Se 0.9774 0.6751 0.5972  1 Be 2.29, 1 Ge 2.38

Calculated values
Its space group is Fddd, No. 70. The calculation puts the formation energy (no corrections) at -887 meV/atom. The total DFT energy (no corrections) is -62.166 eV for the cell shown.

- Number 6 is which compound?
  CuSb2Br

Repeat the sixth record exactly.
The following is a DFT calculation (PBE-GGA) of an optimized crystal structure of CuSb2Br.

Lattice parameters (Å, degrees): 5.0892 5.0892 5.0892 112.06 112.06 104.41
Closest atoms and distances in Å follow each position.
Fractional coordinates of all 4 atoms:
1 Cu 0.0000 0.0000 0.0000  4 Sb 2.84, 2 Br 3.12
2 Sb 0.0000 0.5000 0.5000  2 Br 2.84, 2 Cu 2.84, 2 Sb 3.12
3 Sb 0.5000 0.0000 0.5000  2 Br 2.84, 2 Cu 2.84, 2 Sb 3.12
4 Br 0.5000 0.5000 0.0000  4 Sb 2.84, 2 Cu 3.12

Calculated values
As for the energy above the most stable polymorph in this dataset: 101 kJ/mol of formula units. Its space group is I4/mmm, No. 139. The calculation puts the formation energy (no corrections) at 193 meV/atom. The total DFT energy (no corrections) is -13.243 eV for the cell shown.